Record 1
Entry from Alexandria: a relaxed KBeFe2 crystal (PBE-GGA).

The space group is C2/m (No. 12) and the conventional cell measures 6.5893, 3.8073 and 6.6934 Å, with angles of 90.00, 109.30 and 90.00 degrees. The asymmetric unit holds K at (0.0000, 0.0000, 0.0000), Be at (0.0000, 0.5000, 0.5000) and Fe at (0.1928, 0.0000, 0.5782).

The calculation puts the formation energy at 0.54 eV/atom. The calculation puts the electronic total energy at -4.901 eV/atom.

Record 2
Entry from Alexandria: a relaxed UTl3S4 crystal (PBE-GGA).

The space group is Pmmn (No. 59, origin choice 2) and the conventional cell measures 5.6938, 9.5369 and 9.9488 Å, with angles of 90.00, 90.00 and 90.00 degrees. The asymmetric unit holds U at (0.2500, 0.2500, 0.2021), Tl at (0.2500, 0.0516, 0.6662), Tl at (0.2500, 0.7500, 0.1228), S at (0.2500, 0.0343, 0.3457), S at (0.2500, 0.2500, 0.9509) and S at (0.2500, 0.7500, 0.8062).

The value obtained for the formation energy without anion corrections is -0.622 eV per atom. The calculation puts the electronic total energy at -4.984 eV/atom. As for the energy above the most stable polymorph in this dataset: 159 meV/atom.

Record 3
Entry from Alexandria: a relaxed Tb2DyTlC crystal (PBE-GGA).

The space group is P4/mmm (No. 123) and the conventional cell measures 4.9532, 4.9532 and 4.9241 Å, with angles of 90.00, 90.00 and 90.00 degrees. The asymmetric unit holds Tb at (0.0000, 0.5000, 0.0000), Dy at (0.0000, 0.0000, 0.5000), Tl at (0.5000, 0.5000, 0.5000) and C at (0.0000, 0.0000, 0.0000).

The calculation puts the formation energy at -0.44 eV/atom. The calculation puts the electronic total energy at -5.531 eV/atom.

Record 4
Entry from Alexandria: a relaxed RbPu2MnBr8 crystal (PBE-GGA).

The space group is P2/m (No. 10) and the conventional cell measures 6.8071, 9.0833 and 7.0757 Å, with angles of 90.00, 93.64 and 90.00 degrees. The asymmetric unit holds Rb at (0.0000, 0.0000, 0.0000), Pu at (0.5000, 0.2607, 0.5000), Mn at (0.0000, 0.5000, 0.0000), Br at (0.2334, 0.2972, 0.1597), Br at (0.2630, 0.5000, 0.6631) and Br at (0.2775, 0.0000, 0.6243).

The value obtained for the formation energy without anion corrections is -1.338 eV per atom. The calculation puts the electronic total energy at -5.687 eV/atom.

Record 5
Entry from Alexandria: a relaxed CeDyCSe crystal (PBE-GGA).

The space group is R3m (No. 160, hexagonal axes) and the conventional cell measures 3.8081, 3.8081 and 19.9403 Å, with angles of 90.00, 90.00 and 120.00 degrees. The asymmetric unit holds Ce at (0.0000, 0.0000, 0.0000), Dy at (0.0000, 0.0000, 0.5301), C at (0.0000, 0.0000, 0.2676) and Se at (0.0000, 0.0000, 0.7685).

The value obtained for the formation energy without anion corrections is -1.085 eV per atom. The calculation puts the electronic total energy at -6.896 eV/atom.

Record 6
Entry from Alexandria: a relaxed CsSiTeCSe crystal (PBE-GGA).

The space group is Pm (No. 6) and the conventional cell measures 6.5789, 4.0228 and 7.9869 Å, with angles of 90.00, 114.12 and 90.00 degrees. The asymmetric unit holds Cs at (0.0000, 0.0000, 0.0000), Si at (0.6670, 0.0000, 0.3571), Te at (0.4912, 0.5000, 0.9809), C at (0.5572, 0.0000, 0.1179) and Se at (0.7359, 0.5000, 0.5253).

The value obtained for the formation energy without anion corrections is 0.239 eV per atom. The calculation puts the electronic total energy at -4.186 eV/atom. As for the energy above the most stable polymorph in this dataset: 233 meV/atom.

Record 7
Entry from Alexandria: a relaxed Cd8GaHg5 crystal (PBE-GGA).

The space group is I-4 (No. 82) and the conventional cell measures 8.7477, 8.7477 and 8.7702 Å, with angles of 90.00, 90.00 and 90.00 degrees. The asymmetric unit holds Cd at (0.0703, 0.1726, 0.1851), Cd at (0.0918, 0.3319, 0.5102), Ga at (0.0000, 0.5000, 0.2500), Hg at (0.0000, 0.0000, 0.5000) and Hg at (0.1177, 0.2726, 0.8467).

The calculation puts the formation energy at 0.02 eV/atom. The calculation puts the electronic total energy at -0.823 eV/atom.

Record 8
Entry from Alexandria: a relaxed ScTc2Se crystal (PBE-GGA).

The space group is Pm (No. 6) and the conventional cell measures 3.1776, 3.9746 and 5.4714 Å, with angles of 90.00, 102.39 and 90.00 degrees. The asymmetric unit holds Sc at (0.0000, 0.0000, 0.0000), Tc at (0.3491, 0.5000, 0.6929), Tc at (0.6352, 0.0000, 0.5064) and Se at (0.5590, 0.5000, 0.1730).

The value obtained for the formation energy without anion corrections is -0.216 eV per atom. The calculation puts the electronic total energy at -7.853 eV/atom.

Record 9
Entry from Alexandria: a relaxed Ac4SiN crystal (PBE-GGA).

The space group is Cmcm (No. 63) and the conventional cell measures 9.8932, 8.1238 and 10.4619 Å, with angles of 90.00, 90.00 and 90.00 degrees. The asymmetric unit holds Ac at (0.0000, 0.2211, 0.0461), Ac at (0.2003, 0.4449, 0.7500), Si at (0.0000, 0.1033, 0.7500) and N at (0.0000, 0.3777, 0.2500).

The value obtained for the formation energy without anion corrections is -0.485 eV per atom. The calculation puts the electronic total energy at -5.515 eV/atom.

Record 10
Entry from Alexandria: a relaxed BeAg crystal (PBE-GGA).

The space group is P2_1/m (No. 11) and the conventional cell measures 2.8869, 3.8595 and 4.8519 Å, with angles of 90.00, 107.23 and 90.00 degrees. The asymmetric unit holds Be at (0.0668, 0.2500, 0.1353) and Ag at (0.3455, 0.2500, 0.6908).

The calculation puts the formation energy at 0.17 eV/atom. The calculation puts the electronic total energy at -3.122 eV/atom.

Record 11
Entry from Alexandria: a relaxed FeHg crystal (PBE-GGA).

The space group is P-3m1 (No. 164) and the conventional cell measures 3.0198, 3.0198 and 9.0668 Å, with angles of 90.00, 90.00 and 120.00 degrees. The asymmetric unit holds Fe at (0.3333, 0.6667, 0.0905) and Hg at (0.3333, 0.6667, 0.6565).

The calculation puts the formation energy at 0.38 eV/atom. The calculation puts the electronic total energy at -3.998 eV/atom.

Record 12
Entry from Alexandria: a relaxed RbZnMo2N crystal (PBE-GGA).

The space group is P4/mmm (No. 123) and the conventional cell measures 4.7675, 4.7675 and 5.0955 Å, with angles of 90.00, 90.00 and 90.00 degrees. The asymmetric unit holds Rb at (0.0000, 0.0000, 0.0000), Zn at (0.0000, 0.0000, 0.5000), Mo at (0.0000, 0.5000, 0.0000) and N at (0.5000, 0.5000, 0.5000).

The value obtained for the formation energy without anion corrections is 4.026 eV per atom. The calculation puts the electronic total energy at -2.420 eV/atom.

Record 13
Entry from Alexandria: a relaxed Pr4Tl5Ir2 crystal (PBE-GGA).

The space group is P2/m (No. 10) and the conventional cell measures 8.1239, 3.8730 and 9.7993 Å, with angles of 90.00, 93.16 and 90.00 degrees. The asymmetric unit holds Pr at (0.1872, 0.0000, 0.3391), Pr at (0.2127, 0.0000, 0.9301), Tl at (0.1518, 0.5000, 0.6362), Tl at (0.4523, 0.5000, 0.1628), Tl at (0.5000, 0.5000, 0.5000) and Ir at (0.0768, 0.5000, 0.1329).

The calculation puts the formation energy at -0.42 eV/atom. The calculation puts the electronic total energy at -4.846 eV/atom.

Record 14
Entry from Alexandria: a relaxed LuSc2Br crystal (PBE-GGA).

The space group is R-3m (No. 166, hexagonal axes) and the conventional cell measures 3.4735, 3.4735 and 28.6082 Å, with angles of 90.00, 90.00 and 120.00 degrees. The asymmetric unit holds Lu at (0.0000, 0.0000, 0.0000), Sc at (0.0000, 0.0000, 0.2424) and Br at (0.0000, 0.0000, 0.5000).

The value obtained for the formation energy without anion corrections is -0.437 eV per atom. The calculation puts the electronic total energy at -5.151 eV/atom.

Record 15
Entry from Alexandria: a relaxed KFeSi2 crystal (PBE-GGA).

The space group is Cmmm (No. 65) and the conventional cell measures 5.6591, 9.5274 and 2.6489 Å, with angles of 90.00, 90.00 and 90.00 degrees. The asymmetric unit holds K at (0.0000, 0.0000, 0.0000), Fe at (0.0000, 0.5000, 0.0000) and Si at (0.2500, 0.2500, 0.5000).

The value obtained for the formation energy without anion corrections is 0.816 eV per atom. The calculation puts the electronic total energy at -4.286 eV/atom. As for the energy above the most stable polymorph in this dataset: 770 meV/atom.

Record 16
Entry from Alexandria: a relaxed KBaSr2Pt crystal (PBE-GGA).

The space group is P4/mmm (No. 123) and the conventional cell measures 6.1473, 6.1473 and 6.3336 Å, with angles of 90.00, 90.00 and 90.00 degrees. The asymmetric unit holds K at (0.0000, 0.0000, 0.0000), Ba at (0.5000, 0.5000, 0.0000), Sr at (0.0000, 0.5000, 0.5000) and Pt at (0.5000, 0.5000, 0.5000).

The calculation puts the formation energy at -0.39 eV/atom. The calculation puts the electronic total energy at -2.879 eV/atom. As for the energy above the most stable polymorph in this dataset: 0 meV/atom.

Record 17
Entry from Alexandria: a relaxed SbMoPb2 crystal (PBE-GGA).

The space group is P4mm (No. 99) and the conventional cell measures 3.4649, 3.4649 and 8.3820 Å, with angles of 90.00, 90.00 and 90.00 degrees. The asymmetric unit holds Sb at (0.0000, 0.0000, 0.0000), Mo at (0.5000, 0.5000, 0.1549), Pb at (0.0000, 0.0000, 0.3914) and Pb at (0.5000, 0.5000, 0.7200).

The value obtained for the formation energy without anion corrections is 0.270 eV per atom. The calculation puts the electronic total energy at -5.322 eV/atom.

Record 18
Entry from Alexandria: a relaxed Ce4Hg2O crystal (PBE-GGA).

The space group is I4/mmm (No. 139) and the conventional cell measures 4.8854, 4.8854 and 15.5606 Å, with angles of 90.00, 90.00 and 90.00 degrees. The asymmetric unit holds Ce at (0.0000, 0.0000, 0.1664), Ce at (0.0000, 0.5000, 0.0000), Hg at (0.0000, 0.0000, 0.3640) and O at (0.0000, 0.0000, 0.0000).

The value obtained for the formation energy without anion corrections is -0.879 eV per atom. The calculation puts the electronic total energy at -5.065 eV/atom. As for the energy above the most stable polymorph in this dataset: 0 meV/atom.

Record 19
Entry from Alexandria: a relaxed PmYZnCo crystal (PBE-GGA).

The space group is F-43m (No. 216) and the conventional cell measures 7.0021, 7.0021 and 7.0021 Å, with angles of 90.00, 90.00 and 90.00 degrees. The asymmetric unit holds Pm at (0.0000, 0.0000, 0.0000), Y at (0.0000, 0.0000, 0.5000), Zn at (0.2500, 0.2500, 0.2500) and Co at (0.2500, 0.2500, 0.7500).

The calculation puts the formation energy at -0.17 eV/atom. The calculation puts the electronic total energy at -5.073 eV/atom. As for the energy above the most stable polymorph in this dataset: 19 meV/atom.

Record 20
Entry from Alexandria: a relaxed MgNpSnAu crystal (PBE-GGA).

The space group is F-43m (No. 216) and the conventional cell measures 7.1805, 7.1805 and 7.1805 Å, with angles of 90.00, 90.00 and 90.00 degrees. The asymmetric unit holds Mg at (0.0000, 0.0000, 0.0000), Np at (0.0000, 0.0000, 0.5000), Sn at (0.2500, 0.2500, 0.7500) and Au at (0.2500, 0.2500, 0.2500).

The calculation puts the formation energy at -0.18 eV/atom. The calculation puts the electronic total energy at -5.636 eV/atom.